No. 1
! CoTe2OsI PBE optimized geometry; values from VASP
&SYSTEM
  ibrav = 0, nat = 5, ntyp = 4
/
ATOMIC_SPECIES
Co 58.93 Co.upf
Te 127.60 Te.upf
Os 190.23 Os.upf
I 126.90 I.upf
CELL_PARAMETERS angstrom
5.140 0.000 0.000
0.000 5.140 0.000
0.000 0.000 5.678
ATOMIC_POSITIONS angstrom
Co 0.000 0.000 0.000
Te 0.000 2.570 2.839
Te 2.570 0.000 2.839
Os 2.570 2.570 2.839
I 2.570 2.570 0.000
! - Energy relative to the lowest polymorph listed for this composition: 0.000 eV/atom
! - SG: P4/mmm, No. 123
! - Theoretical density: 6988 kg/m³
! - Formation energy without anion corrections: 1.220 eV/atom
! - Magnetization: 2.73 μB/f.u.

***

No. 2
! DyPd2Pb PBE optimized geometry; values from VASP
&SYSTEM
  ibrav = 0, nat = 4, ntyp = 3
/
ATOMIC_SPECIES
Dy 162.50 Dy.upf
Pd 106.42 Pd.upf
Pb 207.20 Pb.upf
CELL_PARAMETERS angstrom
3.587 0.000 0.000
0.000 3.587 0.000
0.000 0.000 6.636
ATOMIC_POSITIONS angstrom
Dy 0.000 0.000 0.000
Pd 1.793 1.793 1.528
Pd 1.793 1.793 5.108
Pb 0.000 0.000 3.318
! - SG: P4/mmm, No. 123
! - Theoretical density: 11332 kg/m³
! - Calculated formation energy: -0.6217 eV per atom
! - Magnetization: 0.00 μB/f.u.

***

No. 3
! DyYNp2P4 PBE optimized geometry; values from VASP
&SYSTEM
  ibrav = 0, nat = 8, ntyp = 4
/
ATOMIC_SPECIES
Dy 162.50 Dy.upf
Y 88.91 Y.upf
Np 237.00 Np.upf
P 30.97 P.upf
CELL_PARAMETERS angstrom
6.893 0.000 0.000
0.000 3.963 0.000
-2.287 0.000 6.510
ATOMIC_POSITIONS angstrom
Dy 0.000 0.000 0.000
Y 3.446 1.982 0.000
Np -1.144 1.982 3.255
Np 2.303 0.000 3.255
P 0.003 0.000 4.842
P 1.151 1.982 1.666
P 3.454 1.982 4.844
P 4.602 0.000 1.667
! - SG: P2/m, No. 10
! - Theoretical density: 7931 kg/m³
! - Calculated formation energy: -1.2160 eV per atom
! - Magnetization: 0.01 μB/f.u.

***

No. 4
! Nb2TcBiRh PBE optimized geometry; values from VASP
&SYSTEM
  ibrav = 0, nat = 5, ntyp = 4
/
ATOMIC_SPECIES
Nb 92.91 Nb.upf
Tc 98.00 Tc.upf
Bi 208.98 Bi.upf
Rh 102.91 Rh.upf
CELL_PARAMETERS angstrom
4.816 0.000 0.000
0.000 4.816 0.000
0.000 0.000 4.837
ATOMIC_POSITIONS angstrom
Nb 0.000 2.408 0.000
Nb 2.408 0.000 0.000
Tc 0.000 0.000 0.000
Bi 2.408 2.408 2.418
Rh 0.000 0.000 2.418
! - SG: P4/mmm, No. 123
! - Theoretical density: 8817 kg/m³
! - Calculated formation energy: 0.9080 eV per atom
! - Magnetization: 0.00 μB/f.u.

***

No. 5
! La2Zn3Cd PBE optimized geometry; values from VASP
&SYSTEM
  ibrav = 0, nat = 12, ntyp = 3
/
ATOMIC_SPECIES
La 138.91 La.upf
Zn 65.41 Zn.upf
Cd 112.41 Cd.upf
CELL_PARAMETERS angstrom
0.000 4.791 8.327
3.609 0.000 8.327
3.609 4.791 0.000
ATOMIC_POSITIONS angstrom
La 5.418 4.791 8.327
La 1.804 2.395 4.164
La 5.413 7.186 12.491
La 1.799 4.791 8.327
Zn 3.609 4.791 2.713
Zn 3.609 2.341 6.972
Zn 3.609 2.341 9.682
Zn 3.609 7.240 6.972
Zn 3.609 7.240 9.682
Zn 3.609 4.791 13.942
Cd 3.609 4.791 5.554
Cd 3.609 4.791 11.100
! - Energy relative to the lowest polymorph listed for this composition: 0.000 eV/atom
! - SG: Fmmm, No. 69
! - Theoretical density: 6765 kg/m³
! - Calculated formation energy: -0.3362 eV per atom
! - Magnetization: 0.00 μB/f.u.

***

No. 6
! BeNi2Br PBE optimized geometry; values from VASP
&SYSTEM
  ibrav = 0, nat = 4, ntyp = 3
/
ATOMIC_SPECIES
Be 9.01 Be.upf
Ni 58.69 Ni.upf
Br 79.90 Br.upf
CELL_PARAMETERS angstrom
-1.492 1.669 5.606
1.492 -1.669 5.606
1.492 1.669 -5.606
ATOMIC_POSITIONS angstrom
Be 0.000 0.000 0.000
Ni 0.000 0.000 4.996
Ni 0.000 1.669 1.336
Br 1.492 0.000 2.964
! - Energy relative to the lowest polymorph listed for this composition: 0.090 eV/atom
! - SG: Imm2, No. 44
! - Theoretical density: 6132 kg/m³
! - Formation energy without anion corrections: 0.223 eV/atom
! - Magnetization: 0.00 μB/f.u.

***

No. 7
! Li2PtSe PBE optimized geometry; values from VASP
&SYSTEM
  ibrav = 0, nat = 4, ntyp = 3
/
ATOMIC_SPECIES
Li 6.94 Li.upf
Pt 195.08 Pt.upf
Se 78.96 Se.upf
CELL_PARAMETERS angstrom
2.707 -3.815 0.000
2.707 3.815 0.000
0.000 0.000 2.879
ATOMIC_POSITIONS angstrom
Li 1.354 1.908 0.000
Li 1.354 -1.908 0.000
Pt 0.000 0.000 1.440
Se 2.707 0.000 1.440
! - SG: Cmmm, No. 65
! - Theoretical density: 8038 kg/m³
! - Formation energy without anion corrections: -0.631 eV/atom
! - Magnetization: 0.00 μB/f.u.

***

No. 8
! NaPuAg2Br6 PBE optimized geometry; values from VASP
&SYSTEM
  ibrav = 0, nat = 10, ntyp = 4
/
ATOMIC_SPECIES
Na 22.99 Na.upf
Pu 244.00 Pu.upf
Ag 107.87 Ag.upf
Br 79.90 Br.upf
CELL_PARAMETERS angstrom
7.294 0.000 0.000
3.647 6.319 0.000
3.639 2.106 7.007
ATOMIC_POSITIONS angstrom
Na 0.000 0.000 0.000
Pu 7.290 4.211 3.225
Ag 3.649 2.102 2.904
Ag 10.936 6.320 4.822
Br 6.283 6.341 4.987
Br 4.957 4.202 1.588
Br 5.947 2.275 4.989
Br 8.453 6.232 1.589
Br 9.632 4.024 4.993
Br 8.464 2.187 1.600
! - SG: P1, No. 1
! - Theoretical density: 4947 kg/m³
! - Formation energy without anion corrections: -1.027 eV/atom
! - Magnetization: 5.00 μB/f.u.

***

No. 9
! HfTi2Ga2 PBE optimized geometry; values from VASP
&SYSTEM
  ibrav = 0, nat = 10, ntyp = 3
/
ATOMIC_SPECIES
Hf 178.49 Hf.upf
Ti 47.87 Ti.upf
Ga 69.72 Ga.upf
CELL_PARAMETERS angstrom
7.293 0.000 0.000
0.000 7.293 0.000
0.000 0.000 3.257
ATOMIC_POSITIONS angstrom
Hf 0.000 0.000 0.000
Hf 3.647 3.647 0.000
Ti 1.289 2.358 1.628
Ti 2.358 6.004 1.628
Ti 4.936 1.289 1.628
Ti 6.004 4.936 1.628
Ga 0.898 4.545 0.000
Ga 2.749 0.898 0.000
Ga 4.545 6.395 0.000
Ga 6.395 2.749 0.000
! - Energy relative to the lowest polymorph listed for this composition: 0.000 eV/atom
! - SG: P4/mbm, No. 127
! - Theoretical density: 7931 kg/m³
! - Calculated formation energy: -0.4183 eV per atom
! - Magnetization: 0.00 μB/f.u.

***

No. 10
! Mg2AsPd7 PBE optimized geometry; values from VASP
&SYSTEM
  ibrav = 0, nat = 10, ntyp = 3
/
ATOMIC_SPECIES
Mg 24.30 Mg.upf
As 74.92 As.upf
Pd 106.42 Pd.upf
CELL_PARAMETERS angstrom
0.000 4.748 4.748
4.748 0.000 4.748
4.748 4.748 0.000
ATOMIC_POSITIONS angstrom
Mg 2.374 2.374 2.374
Mg 7.121 7.121 7.121
As 0.000 0.000 0.000
Pd 4.748 4.748 2.268
Pd 4.748 2.268 4.748
Pd 7.227 4.748 4.748
Pd 4.748 4.748 4.748
Pd 2.268 4.748 4.748
Pd 4.748 7.227 4.748
Pd 4.748 4.748 7.227
! - SG: Fm-3m, No. 225
! - Theoretical density: 6738 kg/m³
! - Calculated formation energy: 0.2020 eV per atom
! - Magnetization: 0.00 μB/f.u.

***

No. 11
! Y2AgSeCl PBE optimized geometry; values from VASP
&SYSTEM
  ibrav = 0, nat = 5, ntyp = 4
/
ATOMIC_SPECIES
Y 88.91 Y.upf
Ag 107.87 Ag.upf
Se 78.96 Se.upf
Cl 35.45 Cl.upf
CELL_PARAMETERS angstrom
5.177 0.000 0.000
0.000 5.177 0.000
0.000 0.000 4.797
ATOMIC_POSITIONS angstrom
Y 0.000 2.588 0.000
Y 2.588 0.000 0.000
Ag 0.000 0.000 2.399
Se 2.588 2.588 2.399
Cl 0.000 0.000 0.000
! - SG: P4/mmm, No. 123
! - Theoretical density: 5168 kg/m³
! - Formation energy without anion corrections: -0.293 eV/atom
! - Magnetization: 0.00 μB/f.u.

***

No. 12
! Rb4Hg3Cl10 PBE optimized geometry; values from VASP
&SYSTEM
  ibrav = 0, nat = 17, ntyp = 3
/
ATOMIC_SPECIES
Rb 85.47 Rb.upf
Hg 200.59 Hg.upf
Cl 35.45 Cl.upf
CELL_PARAMETERS angstrom
-2.698 2.698 18.664
2.698 -2.698 18.664
2.698 2.698 -18.664
ATOMIC_POSITIONS angstrom
Rb 0.000 0.000 2.538
Rb 0.000 0.000 7.391
Rb 0.000 0.000 29.937
Rb 0.000 0.000 34.789
Hg 0.000 0.000 13.286
Hg 0.000 0.000 18.664
Hg 0.000 0.000 24.042
Cl 2.698 0.000 0.000
Cl 2.698 0.000 5.201
Cl 0.000 0.000 10.687
Cl 2.698 0.000 13.463
Cl 0.000 0.000 16.004
Cl 0.000 2.698 0.000
Cl 0.000 0.000 21.324
Cl 0.000 2.698 5.201
Cl 0.000 0.000 26.641
Cl 0.000 2.698 13.463
! - SG: I4/mmm, No. 139
! - Theoretical density: 3966 kg/m³
! - Formation energy without anion corrections: -1.229 eV/atom
! - Magnetization: 0.00 μB/f.u.